Entry 1:
The following is a DFT calculation (GGA-PBEsol) of crystalline Al2MoOs at its relaxed geometry.

abc: 3.922 3.922 3.737
angles: 90.00 90.00 90.00
Sites, in units of the cell vectors:
Al 0.000 0.500 0.000
Al 0.500 0.000 0.000
Mo 0.000 0.000 0.500
Os 0.500 0.500 0.500

Values from the calculation:
* SG: P4/mmm, No. 123
* excess energy over the best structure of this formula in the dataset: 123 meV per atom
* energy of formation: -0.07 eV/atom

Entry 2:
The following is a DFT calculation (GGA-PBEsol) of crystalline Hf3HgC at its relaxed geometry.

abc: 10.036 10.036 10.036
angles: 18.56 18.56 18.56
Sites, in units of the cell vectors:
Hf 0.000 0.000 0.000
Hf 0.170 0.170 0.170
Hf 0.753 0.753 0.753
Hg 0.584 0.584 0.584
C 0.373 0.373 0.373

Values from the calculation:
* SG: R3m, No. 160
* excess energy over the best structure of this formula in the dataset: 13 meV per atom
* energy of formation: -0.53 eV/atom

Entry 3:
The following is a DFT calculation (GGA-PBEsol) of crystalline Ta2Ru at its relaxed geometry.

abc: 6.926 6.926 4.530
angles: 90.00 90.00 153.58
Sites, in units of the cell vectors:
Ta 0.081 0.919 0.750
Ta 0.247 0.753 0.250
Ta 0.753 0.247 0.750
Ta 0.919 0.081 0.250
Ru 0.419 0.581 0.750
Ru 0.581 0.419 0.250

Values from the calculation:
* SG: Cmcm, No. 63
* energy of formation: -0.26 eV/atom